Here is a relaxed Cd2GeWF crystal from the Alexandria database. Energies are from PBE+U.

Summary:
raw total energy	-14.727	eV for the cell shown

a b c (Å): 5.091 5.091 4.291
angles (deg): 90.00 90.00 90.00
Atoms (fractional coordinates):
Cd 0.000 0.500 0.000
Cd 0.500 0.000 0.000
Ge 0.000 0.000 0.500
W 0.500 0.500 0.500
F 0.500 0.500 0.000